1.
The following is a PBE calculation of a relaxed MgCr4 crystal, from Alexandria.

Unit cell a=4.422 b=4.422 c=4.422 alpha=103.89 beta=103.89 gamma=121.32
Sites, in units of the cell vectors:
Mg1 0.000 0.000 0.000
Cr1 0.206 0.567 0.773
Cr2 0.567 0.794 0.361
Cr3 0.794 0.433 0.227
Cr4 0.433 0.206 0.639

Output
Relative energy among the computed polymorphs: 0 meV/atom
Symmetry: No. 87
Formation energy from the elements: 0.44 eV/atom

2.
The following is a PBE calculation of a relaxed BePbSe2 crystal, from Alexandria.

Unit cell a=7.382 b=7.382 c=7.382 alpha=149.24 beta=149.24 gamma=44.06
Sites, in units of the cell vectors:
Pb1 0.750 0.250 0.500
Be1 0.500 0.500 0.000
Se1 0.000 0.000 0.000
Se2 0.250 0.750 0.500

Output
Relative energy among the computed polymorphs: 856 meV/atom
Symmetry: No. 119
Formation energy (no corrections): 330.6 meV per atom

- Among the records above, which one has the highest relative energy among the computed polymorphs?
  BePbSe2